VASP calculation (PBE) on a relaxed Ca3TlPt8 crystal.

The calculation puts the formation energy at -0.784 eV per atom. The magnetization is 0.00 μB/f.u. Its crystal system is trigonal.

The structure belongs to space group R3m (No. 160, hexagonal axes); the cell edges are 5.4586, 5.4586 and 26.6071 Å and the angles 90.00°, 90.00° and 120.00°. The distinct sites, in fractional coordinates, are Ca at (0.0000, 0.0000, 0.0000), Ca at (0.0000, 0.0000, 0.1275), Ca at (0.0000, 0.0000, 0.5063), Tl at (0.0000, 0.0000, 0.6287), Pt at (0.0000, 0.0000, 0.3152), Pt at (0.0000, 0.0000, 0.8153), Pt at (0.0000, 0.5000, 0.0660) and Pt at (0.1671, 0.3342, 0.8979).